1.
The following is a meta-GGA SCAN calculation of a PBEsol-optimized structure of LiY2In, from Alexandria.

Unit cell a=3.414 b=4.661 c=6.465 alpha=90.00 beta=90.00 gamma=90.00
Element x y z (fractional)
Li1 0.000 0.000 0.000
Y1 0.000 0.000 0.540
Y2 0.500 0.500 0.241
In1 0.500 0.500 0.751

Output
As for the uncorrected energy: -23.06 eV/atom. The value obtained for the formation energy is -19.2 kJ per mole of atoms. The density comes out at 4.835 g cm⁻³.

=====

2.
The following is a meta-GGA SCAN calculation of a PBEsol-optimized structure of LiAsPb, from Alexandria.

Unit cell a=4.185 b=4.185 c=4.669 alpha=90.00 beta=90.00 gamma=120.00
Element x y z (fractional)
Li1 0.000 0.000 0.000
As1 0.667 0.333 0.162
Pb1 0.333 0.667 0.502

Output
As for the uncorrected energy: -33.10 eV/atom. The value obtained for the formation energy is -30.4 kJ per mole of atoms. The density comes out at 6.776 g cm⁻³.

=====

3.
The following is a meta-GGA SCAN calculation of a PBEsol-optimized structure of TlTcBr2, from Alexandria.

Unit cell a=5.136 b=5.136 c=5.136 alpha=60.00 beta=60.00 gamma=60.00
Element x y z (fractional)
Tl1 0.000 0.000 0.000
Tc1 0.500 0.500 0.500
Br1 0.250 0.250 0.250
Br2 0.750 0.750 0.750

Output
Its polymorph energy (0 for the lowest one) is 1.34 eV per formula unit. As for the uncorrected energy: -36.24 eV/atom. The value obtained for the uncorrected formation energy is 347 meV/atom. The density comes out at 8.010 g cm⁻³.

=====

4.
The following is a meta-GGA SCAN calculation of a PBEsol-optimized structure of Li3Ni2O2F3, from Alexandria.

Unit cell a=10.634 b=10.634 c=10.634 alpha=164.62 beta=164.62 gamma=21.81
Element x y z (fractional)
Li1 0.000 0.000 0.000
Li2 0.403 0.403 0.000
Li3 0.597 0.597 0.000
Ni1 0.201 0.201 0.000
Ni2 0.799 0.799 0.000
O1 0.301 0.301 0.000
O2 0.699 0.699 0.000
F1 0.095 0.095 0.000
F2 0.500 0.500 0.000
F3 0.905 0.905 0.000

Output
As for the uncorrected energy: -8.61 eV/atom. The value obtained for the uncorrected formation energy is -2352 meV/atom. The density comes out at 4.462 g cm⁻³.

=====

Q: uncorrected energy of number 2 (LiAsPb)?
A: -33.10 eV/atom